Ac2GeCl8 | PBE | relaxed

Summary:
D(E_F)   0.00 states/eV/cell
Space-group type   C2/m (12)

abc: 4.259 8.044 10.945
angles: 81.93 101.22 90.00
Fractional positions:
Cl (0.243, 0.329, 0.486)
Cl (0.626, 0.944, 0.253)
Ac (0.155, 0.669, 0.310)
Ac (0.845, 0.331, 0.690)
Cl (0.757, 0.671, 0.514)
Cl (0.013, 0.782, 0.027)
Ge (0.500, 0.000, 0.000)
Cl (0.374, 0.056, 0.747)
Cl (0.609, 0.481, 0.218)
Cl (0.391, 0.519, 0.782)
Cl (0.987, 0.218, 0.973)

=====

Ac4Ge2Cl3 | PBE | relaxed

Summary:
D(E_F)   2.72 states/eV/cell
Space-group type   C2/m (12)

abc: 4.586 4.586 17.677
angles: 89.96 90.00 120.00
Fractional positions:
Ac (0.999, 0.999, 0.300)
Cl (0.666, 0.332, 0.390)
Ac (0.667, 0.333, 0.106)
Ge (0.333, 0.666, 0.200)
Ac (0.333, 0.667, 0.894)
Cl (0.000, 0.000, 0.000)
Cl (0.334, 0.668, 0.610)
Ge (0.667, 0.334, 0.800)
Ac (0.001, 0.001, 0.700)

=====

Ac4Ge2ICl | PBE | relaxed

Summary:
D(E_F)   4.70 states/eV/cell
Space-group type   I4/mmm (139)

abc: 6.507 6.507 7.879
angles: 114.38 114.38 90.01
Fractional positions:
Ac (0.195, 0.195, 0.516)
Ge (0.187, 0.687, 0.500)
Ac (0.437, 0.937, 0.000)
Ac (0.679, 0.679, 0.484)
Ac (0.937, 0.437, 0.000)
Ge (0.687, 0.187, 0.500)
Cl (0.437, 0.437, 0.000)
I (0.937, 0.937, 0.000)

=====

no.,formation energy (no corrections) (eV per atom)
1,-1.97
2,-1.48
3,-1.02